DFT (PBE-GGA) results for a relaxed Y2MgHgSe crystal.

Cell lengths 5.650, 5.650, 4.974 Å; angles 90.00, 90.00, 90.00 degrees
Space group P4/mmm (No. 123)
One atom of each set of equivalent atoms:
Y 0.000 0.500 0.000 [2 per cell]
Mg 0.000 0.000 0.500 [1 per cell]
Hg 0.000 0.000 0.000 [1 per cell]
Se 0.500 0.500 0.500 [1 per cell]

total magnetization = 0.000 μB/atom
VASP energy = -0.2776 Ry/atom
formation energy (no corrections) = -11.1 kJ/mol of atoms

=====

DFT (PBE-GGA) results for a relaxed FeTcCl2 crystal.

Cell lengths 6.565, 6.565, 6.565 Å; angles 90.00, 90.00, 90.00 degrees
Space group F-43m (No. 216)
One atom of each set of equivalent atoms:
Fe 0.000 0.000 0.000 [4 per cell]
Tc 0.250 0.250 0.750 [4 per cell]
Cl 0.000 0.000 0.500 [4 per cell]
Cl 0.250 0.250 0.250 [4 per cell]

total magnetization = 1.668 μB/atom
VASP energy = -0.3407 Ry/atom
distance to the lowest polymorph of the same formula = 1076 meV/atom
formation energy (no corrections) = 96.0 kJ/mol of atoms

=====

DFT (PBE-GGA) results for a relaxed ScCu crystal.

Cell lengths 4.927, 5.919, 9.799 Å; angles 90.00, 90.00, 90.00 degrees
Space group P2_12_12_1 (No. 19)
One atom of each set of equivalent atoms:
Sc 0.024 0.218 0.222 [4 per cell]
Sc 0.200 0.413 0.520 [4 per cell]
Cu 0.008 0.044 0.726 [4 per cell]
Cu 0.207 0.924 0.490 [4 per cell]

total magnetization = 0.000 μB/atom
VASP energy = -0.3906 Ry/atom
calculated formation energy = -9.7 kJ per mole of atoms

=====

DFT (PBE-GGA) results for a relaxed Nb2Ga2Bi crystal.

Cell lengths 7.413, 7.413, 3.609 Å; angles 90.00, 90.00, 90.00 degrees
Space group P4/mbm (No. 127)
One atom of each set of equivalent atoms:
Nb 0.130 0.370 0.000 [4 per cell]
Ga 0.164 0.664 0.500 [4 per cell]
Bi 0.000 0.000 0.000 [2 per cell]

total magnetization = 0.000 μB/atom
VASP energy = -0.4389 Ry/atom
distance to the lowest polymorph of the same formula = 0 meV/atom
calculated formation energy = 4.2 kJ per mole of atoms

=====

DFT (PBE-GGA) results for a relaxed SiTeCI2 crystal.

Cell lengths 5.028, 5.028, 4.808 Å; angles 90.00, 90.00, 90.00 degrees
Space group P4/mmm (No. 123)
One atom of each set of equivalent atoms:
Si 0.000 0.000 0.000 [1 per cell]
Te 0.500 0.500 0.000 [1 per cell]
C 0.500 0.500 0.500 [1 per cell]
I 0.000 0.500 0.500 [2 per cell]

total magnetization = 0.000 μB/atom
VASP energy = -0.2095 Ry/atom
distance to the lowest polymorph of the same formula = 0 meV/atom
formation energy (no corrections) = 128.0 kJ/mol of atoms

=====

DFT (PBE-GGA) results for a relaxed CdCo2Ir crystal.

Cell lengths 2.7454, 2.7454, 26.3144 Å; angles 90.00, 90.00, 120.00 degrees
Space group R-3m (No. 166, hexagonal axes)
One atom of each set of equivalent atoms:
Cd 0.0000 0.0000 0.0000 [3 per cell]
Co 0.0000 0.0000 0.2443 [6 per cell]
Ir 0.0000 0.0000 0.5000 [3 per cell]

total magnetization = 0.996 μB/atom
VASP energy = -0.4221 Ry/atom
calculated formation energy = 24.5 kJ per mole of atoms